No. 1
Sc2Sb: relaxed, PBE.

Cell lengths 5.851, 5.851, 5.851 Å; angles 60.00, 60.00, 60.00 degrees
Sites, in units of the cell vectors:
Sc (0.000, 0.000, 0.000)
Sc (0.000, 0.000, 0.500)
Sc (0.000, 0.500, 0.000)
Sc (0.500, 0.000, 0.000)
Sb (0.375, 0.375, 0.375)
Sb (0.625, 0.625, 0.625)

Output
Formation energy without anion corrections, eV per formula unit: -0.4
E_tot, eV per atom: -5.737
Density of states at the Fermi level, states/eV/atom: 1.298
Size of the total moment, μB per cell: 0.0



No. 2
InMo2Ru: relaxed, PBE.

Cell lengths 5.356, 5.356, 5.356 Å; angles 144.91, 131.98, 60.85 degrees
Sites, in units of the cell vectors:
In (0.000, 0.000, 0.000)
Mo (0.257, 0.757, 0.500)
Mo (0.743, 0.243, 0.500)
Ru (0.500, 0.500, 0.000)

Output
Calculated formation energy, eV/atom: 0.13
E_tot, eV per atom: -8.290
Density of states at the Fermi level, states/eV/atom: 0.396
Size of the total moment, μB per cell: 0.0



No. 3
Li2CaY2Ge2: relaxed, PBE.

Cell lengths 9.388, 9.388, 9.388 Å; angles 28.05, 28.05, 28.05 degrees
Sites, in units of the cell vectors:
Li (0.096, 0.096, 0.096)
Li (0.904, 0.904, 0.904)
Ca (0.500, 0.500, 0.500)
Y (0.372, 0.372, 0.372)
Y (0.628, 0.628, 0.628)
Ge (0.244, 0.244, 0.244)
Ge (0.756, 0.756, 0.756)

Output
Calculated formation energy, eV/atom: -0.49
E_tot, eV per atom: -4.493
Density of states at the Fermi level, states/eV/atom: 0.435
Size of the total moment, μB per cell: 0.0



No. 4
La3Sb2Se: relaxed, PBE.

Cell lengths 7.828, 7.828, 7.828 Å; angles 146.35, 131.58, 60.26 degrees
Sites, in units of the cell vectors:
La (0.000, 0.000, 0.000)
La (0.339, 0.339, 0.000)
La (0.661, 0.661, 0.000)
Sb (0.169, 0.669, 0.500)
Sb (0.831, 0.331, 0.500)
Se (0.500, 0.000, 0.500)

Output
Formation energy without anion corrections, eV per formula unit: -9.2
E_tot, eV per atom: -5.948
Density of states at the Fermi level, states/eV/atom: 0.354
Size of the total moment, μB per cell: 0.0



No. 5
Cd2ReSb: relaxed, PBE.

Cell lengths 7.207, 7.207, 7.207 Å; angles 156.74, 140.11, 46.68 degrees
Sites, in units of the cell vectors:
Cd (0.000, 0.000, 0.000)
Cd (0.667, 0.167, 0.500)
Re (0.186, 0.686, 0.500)
Sb (0.360, 0.360, 0.000)

Output
Formation energy without anion corrections, eV per formula unit: 1.8
E_tot, eV per atom: -4.162
Density of states at the Fermi level, states/eV/atom: 0.287
Size of the total moment, μB per cell: 0.0



No. 6
PaAlPt2: relaxed, PBE.

Cell lengths 4.768, 4.768, 4.768 Å; angles 60.00, 60.00, 60.00 degrees
Sites, in units of the cell vectors:
Pa (0.000, 0.000, 0.000)
Al (0.500, 0.500, 0.500)
Pt (0.250, 0.250, 0.250)
Pt (0.750, 0.750, 0.750)

Output
Calculated formation energy, eV/atom: -0.87
E_tot, eV per atom: -7.201
Density of states at the Fermi level, states/eV/atom: 1.086
Size of the total moment, μB per cell: 0.0